Record 1
Compound: Ac7Nd3Y
Source: Alexandria
Functional: PBE-GGA
Structure: relaxed

Summary:
total moment	0.00	μB/f.u.
formation enthalpy at 0 K	0.25	eV/atom

a b c (Å): 13.350 12.490 6.460
angles (deg): 90.00 118.87 90.00
Space group C2/m (No. 12)
Symmetry-distinct sites (fractional):
1 Ac 0.000 0.000 0.000 x2
2 Ac 0.187 0.290 0.687 x8
3 Ac 0.202 0.500 0.201 x4
4 Nd 0.000 0.288 0.000 x4
5 Nd 0.000 0.500 0.500 x2
6 Y 0.000 0.000 0.500 x2

***

Record 2
Compound: Ac2Nd4Y5
Source: Alexandria
Functional: PBE-GGA
Structure: relaxed

Summary:
total moment	0.00	μB/f.u.
distance to the lowest polymorph of the same formula	33	meV per atom
formation enthalpy at 0 K	0.16	eV/atom

a b c (Å): 12.609 7.134 9.088
angles (deg): 90.00 102.01 90.00
Space group C2/m (No. 12)
Symmetry-distinct sites (fractional):
1 Ac 0.170 0.000 0.179 x4
2 Nd 0.134 0.500 0.490 x4
3 Nd 0.210 0.500 0.162 x4
4 Y 0.000 0.000 0.500 x2
5 Y 0.058 0.269 0.831 x8

***

Record 3
Compound: AcNd8Y2
Source: Alexandria
Functional: PBE-GGA
Structure: relaxed

Summary:
total moment	0.00	μB/f.u.
distance to the lowest polymorph of the same formula	12	meV per atom
formation enthalpy at 0 K	0.13	eV/atom

a b c (Å): 9.361 17.079 6.109
angles (deg): 90.00 125.70 90.00
Space group C2/m (No. 12)
Symmetry-distinct sites (fractional):
1 Ac 0.000 0.000 0.000 x2
2 Nd 0.000 0.208 0.000 x4
3 Nd 0.065 0.500 0.793 x4
4 Nd 0.221 0.123 0.692 x8
5 Y 0.000 0.312 0.500 x4

***

Record 4
Compound: AcNd4Y7
Source: Alexandria
Functional: PBE-GGA
Structure: relaxed

Summary:
total moment	0.26	μB/f.u.
formation enthalpy at 0 K	0.29	eV/atom

a b c (Å): 12.421 6.118 12.845
angles (deg): 90.00 118.38 90.00
Space group C2/m (No. 12)
Symmetry-distinct sites (fractional):
1 Ac 0.000 0.000 0.000 x2
2 Nd 0.132 0.500 0.776 x4
3 Nd 0.246 0.000 0.678 x4
4 Y 0.000 0.500 0.000 x2
5 Y 0.056 0.000 0.335 x4
6 Y 0.134 0.500 0.503 x4
7 Y 0.216 0.000 0.921 x4

***

Record 5
Compound: AcNd3Y6
Source: Alexandria
Functional: PBE-GGA
Structure: relaxed

Summary:
total moment	0.00	μB/f.u.
distance to the lowest polymorph of the same formula	0	meV per atom
formation enthalpy at 0 K	0.13	eV/atom

a b c (Å): 9.713 15.755 9.094
angles (deg): 90.00 90.00 90.00
Space group Cmc2_1 (No. 36)
Symmetry-distinct sites (fractional):
1 Ac 0.000 0.224 0.000 x4
2 Nd 0.000 0.049 0.765 x4
3 Nd 0.247 0.441 0.587 x8
4 Y 0.000 0.287 0.626 x4
5 Y 0.000 0.452 0.899 x4
6 Y 0.174 0.144 0.413 x8
7 Y 0.176 0.353 0.258 x8

***

Record 6
Compound: AcNd2Y8
Source: Alexandria
Functional: PBE-GGA
Structure: relaxed

Summary:
total moment	0.00	μB/f.u.
distance to the lowest polymorph of the same formula	6	meV per atom
formation enthalpy at 0 K	0.13	eV/atom

a b c (Å): 19.447 7.180 5.586
angles (deg): 90.00 93.06 90.00
Space group C2/m (No. 12)
Symmetry-distinct sites (fractional):
1 Ac 0.000 0.000 0.000 x2
2 Nd 0.215 0.500 0.247 x4
3 Y 0.047 0.500 0.239 x4
4 Y 0.134 0.269 0.729 x8
5 Y 0.189 0.000 0.234 x4

***

Record 7
Compound: AcNd12Y2
Source: Alexandria
Functional: PBE-GGA
Structure: relaxed

Summary:
total moment	0.00	μB/f.u.
formation enthalpy at 0 K	0.15	eV/atom

a b c (Å): 7.247 11.736 25.390
angles (deg): 90.00 90.00 90.00
Space group Cmme (No. 67)
Symmetry-distinct sites (fractional):
1 Ac 0.000 0.250 0.013 x4
2 Nd 0.000 0.022 0.920 x8
3 Nd 0.000 0.025 0.441 x8
4 Nd 0.230 0.250 0.583 x8
5 Nd 0.240 0.250 0.140 x8
6 Nd 0.250 0.000 0.203 x8
7 Nd 0.250 0.000 0.327 x8
8 Y 0.000 0.250 0.276 x4
9 Y 0.000 0.250 0.729 x4

***

Record 8
Compound: Ac4Nd4Y3
Source: Alexandria
Functional: PBE-GGA
Structure: relaxed

Summary:
total moment	0.00	μB/f.u.
formation enthalpy at 0 K	0.05	eV/atom

a b c (Å): 3.720 5.871 19.297
angles (deg): 81.29 89.91 90.00
Space group P1 (No. 1)
Symmetry-distinct sites (fractional):
1 Ac 0.000 0.000 0.000 x1
2 Ac 0.002 0.627 0.742 x1
3 Ac 0.500 0.811 0.377 x1
4 Ac 0.502 0.443 0.114 x1
5 Nd 0.001 0.901 0.198 x1
6 Nd 0.499 0.183 0.633 x1
7 Nd 0.500 0.541 0.916 x1
8 Nd 0.999 0.265 0.468 x1
9 Y 0.001 0.356 0.288 x1
10 Y 0.501 0.086 0.825 x1
11 Y 0.999 0.722 0.555 x1